Entry from the Alexandria database: crystalline ErCd5Ag6 at its relaxed geometry (PBE).

## Properties
The calculation puts the polymorph energy (0 for the lowest one) at 0 meV/atom. As for the size of the total moment: 0.00 μB per atom. For the formation energy, the calculation gives -0.10 eV/atom. The calculation puts the density of states at the Fermi level at 0.28 states/eV/atom.

```
data_ErCd5Ag6
_symmetry_space_group_name_H-M 'C m m m'
_symmetry_Int_Tables_number 65
_symmetry_space_group_name_Hall '-C 2 2'
_cell_length_a 4.7828
_cell_length_b 14.1500
_cell_length_c 7.0963
_cell_angle_alpha 90.00
_cell_angle_beta 90.00
_cell_angle_gamma 90.00
loop_
_atom_site_label
_atom_site_type_symbol
_atom_site_fract_x
_atom_site_fract_y
_atom_site_fract_z
Er1 Er 0.0000 0.0000 0.0000
Cd1 Cd 0.0000 0.0000 0.5000
Cd2 Cd 0.0000 0.3342 0.0000
Cd3 Cd 0.0000 0.3373 0.5000
Ag1 Ag 0.0000 0.1704 0.2562
Ag2 Ag 0.0000 0.5000 0.2548
```